! PBE Tb8Zn2Bi, relaxed; values from VASP
! Formation energy, eV per atom: -0.156
! V, Å³/atom: 29.03
! Calculated density, g/cm3: 8.38
! Density of states at the Fermi level, states/eV per cell: 14.50
! Total energy, eV/atom: -4.108
! SG: C2/m, No. 12
&SYSTEM
  ibrav = 0, nat = 11, ntyp = 3
/
ATOMIC_SPECIES
Tb 158.93 Tb.upf
Zn 65.41 Zn.upf
Bi 208.98 Bi.upf
ATOMIC_POSITIONS crystal
Tb 0.900 0.919 0.678
Tb 0.900 0.678 0.919
Tb 0.298 0.598 0.598
Tb 0.500 0.759 0.241
Tb 0.500 0.241 0.759
Tb 0.702 0.402 0.402
Tb 0.100 0.322 0.081
Tb 0.100 0.081 0.322
Zn 0.000 0.308 0.692
Zn 0.000 0.692 0.308
Bi 0.500 0.000 0.000
CELL_PARAMETERS angstrom
-0.565 3.991 3.838
-2.689 -6.364 4.329
8.079 0.328 -1.045